1.
## HfCd2Br (PBE)

Data for an optimized crystal structure of HfCd2Br.

Properties
- N(E_F) (states/eV/cell) = 7.7
- energy above the most stable polymorph in this dataset (eV/atom) = 0.0000
- uncorrected formation energy (eV/atom) = 0.263

```
HfCd2Br
1.0
-4.528 4.528 2.685
4.528 -4.528 2.685
4.528 4.528 -2.685
Hf Cd Br
2 4 2
direct
0.000 0.000 0.000
0.750 0.250 0.500
0.072 0.625 0.947
0.375 0.322 0.447
0.678 0.125 0.053
0.875 0.928 0.553
0.250 0.750 0.500
0.500 0.500 0.000
```


2.
## HfCd2Br (PBE)

Data for an optimized crystal structure of HfCd2Br.

Properties
- N(E_F) (states/eV/cell) = 5.0
- energy above the most stable polymorph in this dataset (eV/atom) = 0.2643
- uncorrected formation energy (eV/atom) = 0.527

```
HfCd2Br
1.0
0.000 3.685 3.685
3.685 0.000 3.685
3.685 3.685 0.000
Hf Cd Br
1 2 1
direct
0.000 0.000 0.000
0.250 0.250 0.250
0.750 0.750 0.750
0.500 0.500 0.500
```


3.
## HfCdBr2 (PBE)

Data for an optimized crystal structure of HfCdBr2.

Properties
- N(E_F) (states/eV/cell) = 1.1
- energy above the most stable polymorph in this dataset (eV/atom) = 0.0000
- uncorrected formation energy (eV/atom) = -0.648

```
HfCdBr2
1.0
1.693 0.978 11.267
-1.693 0.978 11.267
0.000 -1.955 11.267
Hf Cd Br
1 1 2
direct
0.000 0.000 0.000
0.500 0.500 0.500
0.391 0.391 0.391
0.609 0.609 0.609
```


4.
## Hf3CdBr (PBE)

Data for an optimized crystal structure of Hf3CdBr.

Properties
- N(E_F) (states/eV/cell) = 3.2
- energy above the most stable polymorph in this dataset (eV/atom) = 0.0000
- uncorrected formation energy (eV/atom) = 0.636

```
Hf3CdBr
1.0
4.931 0.000 0.000
0.000 4.931 0.000
0.000 0.000 4.931
Hf Cd Br
3 1 1
direct
0.000 0.000 0.500
0.000 0.500 0.000
0.500 0.000 0.000
0.500 0.500 0.500
0.000 0.000 0.000
```


5.
## HfCdBr6 (PBE)

Data for an optimized crystal structure of HfCdBr6.

Properties
- N(E_F) (states/eV/cell) = 0.0
- energy above the most stable polymorph in this dataset (eV/atom) = 0.0162
- uncorrected formation energy (eV/atom) = -1.122

```
HfCdBr6
1.0
3.421 1.975 6.154
-3.421 1.975 6.154
0.000 -3.950 6.154
Hf Cd Br
1 1 6
direct
0.000 0.000 0.000
0.500 0.500 0.500
0.080 0.397 0.765
0.235 0.920 0.603
0.397 0.765 0.080
0.603 0.235 0.920
0.765 0.080 0.397
0.920 0.603 0.235
```


6.
## HfCdBr6 (PBE)

Data for an optimized crystal structure of HfCdBr6.

Properties
- N(E_F) (states/eV/cell) = 0.0
- energy above the most stable polymorph in this dataset (eV/atom) = 0.0000
- uncorrected formation energy (eV/atom) = -1.138

```
HfCdBr6
1.0
3.393 -6.636 0.000
3.393 6.636 0.000
-2.345 0.000 6.367
Hf Cd Br
1 1 6
direct
0.000 0.000 0.000
0.500 0.500 0.500
0.098 0.383 0.241
0.233 0.233 0.769
0.383 0.098 0.241
0.617 0.902 0.759
0.767 0.767 0.231
0.902 0.617 0.759
```


7.
## HfCdBr2 (PBE)

Data for an optimized crystal structure of HfCdBr2.

Properties
- N(E_F) (states/eV/cell) = 3.4
- energy above the most stable polymorph in this dataset (eV/atom) = 0.3348
- uncorrected formation energy (eV/atom) = -0.313

```
HfCdBr2
1.0
1.787 1.032 11.439
-1.787 1.032 11.439
0.000 -2.064 11.439
Hf Cd Br
1 1 2
direct
0.000 0.000 0.000
0.500 0.500 0.500
0.072 0.072 0.072
0.928 0.928 0.928
```


8.
## HfCdBr2 (PBE)

Data for an optimized crystal structure of HfCdBr2.

Properties
- N(E_F) (states/eV/cell) = 2.5
- energy above the most stable polymorph in this dataset (eV/atom) = 0.7464
- uncorrected formation energy (eV/atom) = 0.098

```
HfCdBr2
1.0
0.000 3.589 3.589
3.589 0.000 3.589
3.589 3.589 0.000
Hf Cd Br
1 1 2
direct
0.000 0.000 0.000
0.500 0.500 0.500
0.250 0.250 0.250
0.750 0.750 0.750
```


9.
## Hf2CdInBr (PBE)

Data for an optimized crystal structure of Hf2CdInBr.

Properties
- N(E_F) (states/eV/cell) = 4.8
- uncorrected formation energy (eV/atom) = 0.778

```
Hf2CdInBr
1.0
4.929 0.000 0.000
0.000 4.929 0.000
0.000 0.000 5.548
Hf Cd In Br
2 1 1 1
direct
0.000 0.500 0.000
0.500 0.000 0.000
0.000 0.000 0.500
0.500 0.500 0.500
0.500 0.500 0.000
```


10.
## HfMgCdBr2 (PBE)

Data for an optimized crystal structure of HfMgCdBr2.

Properties
- N(E_F) (states/eV/cell) = 3.8
- uncorrected formation energy (eV/atom) = 0.341

```
HfMgCdBr2
1.0
4.941 0.000 0.000
0.000 4.941 0.000
0.000 0.000 6.381
Hf Mg Cd Br
1 1 1 2
direct
0.000 0.000 0.000
0.500 0.500 0.500
0.500 0.500 0.000
0.000 0.500 0.500
0.500 0.000 0.500
```


11.
## Na2HfCdBr (PBE)

Data for an optimized crystal structure of Na2HfCdBr.

Properties
- N(E_F) (states/eV/cell) = 3.9
- uncorrected formation energy (eV/atom) = 0.485

```
Na2HfCdBr
1.0
5.081 0.000 0.000
0.000 5.081 0.000
0.000 0.000 6.525
Na Hf Cd Br
2 1 1 1
direct
0.000 0.500 0.000
0.500 0.000 0.000
0.000 0.000 0.500
0.500 0.500 0.500
0.500 0.500 0.000
```


12.
## NaHf2CdBr (PBE)

Data for an optimized crystal structure of NaHf2CdBr.

Properties
- N(E_F) (states/eV/cell) = 6.4
- uncorrected formation energy (eV/atom) = 1.363

```
NaHf2CdBr
1.0
5.242 0.000 0.000
0.000 5.242 0.000
0.000 0.000 4.998
Na Hf Cd Br
1 2 1 1
direct
0.000 0.000 0.000
0.000 0.500 0.000
0.500 0.000 0.000
0.500 0.500 0.500
0.000 0.000 0.500
```